## SrTi2Se (PBE)

Data for SrTi2Se after structural relaxation.

Cell lengths 4.597, 4.597, 10.200 Å; angles 76.98, 76.98, 90.00 degrees
Fractional coordinates of all 8 atoms:
Ti: 0.375 0.625 0.750
Ti: 0.875 0.625 0.750
Ti: 0.375 0.625 0.250
Se: 0.500 0.500 0.000
Sr: 0.750 0.250 0.500
Sr: 0.000 0.000 0.000
Se: 0.250 0.750 0.500
Ti: 0.375 0.125 0.250

M_tot = 0.0 μB per cell
theoretical density = 4.26 g cm⁻³
final energy = -5.335 eV per atom